A geometry-optimized Sr3Ca4Zn structure. Source: Alexandria via LeMat-Bulk, functional PBE.

Cell: 3.9279 3.9279 21.6971 Å, 90.00 90.00 90.00°
Space group P4/mmm (No. 123)
Asymmetric unit:
Sr1 0.0000 0.0000 0.0000 [1 per cell]
Sr2 0.0000 0.0000 0.2798 [2 per cell]
Ca1 0.5000 0.5000 0.1396 [2 per cell]
Ca2 0.5000 0.5000 0.4204 [2 per cell]
Zn1 0.0000 0.0000 0.5000 [1 per cell]

Output
DOS(E_F) ... 1.1284 states/eV/atom
VASP energy ... -1.824 eV/atom
Volume ... 335 Å³ per cell
Total magnetic moment ... 0.000 μB/atom